# 1
{"formula": "RbTh2Se6", "functional": "meta-GGA SCAN", "state": "single point on PBEsol structure", "space_group": "Immm (71)", "lattice_angstrom": [[-0.7681, 3.4345, 2.2960], [-0.9153, -3.1693, 4.4346], [11.7264, 0.4984, -0.6678]], "species": ["Se", "Rb", "Th", "Se", "Th", "Se", "Se", "Se", "Se"], "frac_coords": [[0.6079, 0.8550, 0.2158], [0.0000, 0.0000, 0.0000], [0.8204, 0.3204, 0.6407], [0.2276, 0.2276, 0.4553], [0.1796, 0.6796, 0.3593], [0.7724, 0.7724, 0.5447], [0.3921, 0.1450, 0.7842], [0.3921, 0.6392, 0.7842], [0.6079, 0.3608, 0.2158]]}

# 2
{"formula": "RbTi5Se8", "functional": "meta-GGA SCAN", "state": "single point on PBEsol structure", "space_group": "C2/m (12)", "lattice_angstrom": [[-2.4502, -2.4908, -0.5492], [-0.2424, -1.7408, 8.9769], [-5.1725, 7.8138, -0.9731]], "species": ["Ti", "Ti", "Se", "Rb", "Ti", "Se", "Se", "Se", "Ti", "Se", "Se", "Se", "Se", "Ti"], "frac_coords": [[0.0000, 0.0000, 0.0000], [0.6604, 0.0013, 0.3209], [0.0888, 0.8247, 0.1776], [0.5000, 0.5000, 0.0000], [0.3396, 0.9987, 0.6791], [0.8403, 0.4993, 0.6806], [0.5744, 0.1751, 0.1489], [0.2458, 0.1722, 0.4916], [0.7082, 0.3509, 0.4163], [0.9112, 0.1753, 0.8224], [0.7542, 0.8278, 0.5084], [0.1597, 0.5007, 0.3194], [0.4256, 0.8249, 0.8511], [0.2918, 0.6491, 0.5837]]}

# 3
{"formula": "RbTlSe", "functional": "meta-GGA SCAN", "state": "single point on PBEsol structure", "space_group": "P2_1/m (11)", "lattice_angstrom": [[4.5753, 0.0000, 0.0000], [0.0000, 6.6416, -0.0014], [0.0000, -3.1549, 7.1605]], "species": ["Se", "Rb", "Tl", "Se", "Rb", "Tl"], "frac_coords": [[0.2500, 0.3551, 0.2352], [0.7500, 0.2053, 0.8895], [0.2500, 0.7615, 0.5723], [0.7500, 0.6449, 0.7648], [0.2500, 0.7947, 0.1105], [0.7500, 0.2385, 0.4277]]}

# 4
{"formula": "Rb3TlSe", "functional": "meta-GGA SCAN", "state": "single point on PBEsol structure", "space_group": "Pm-3m (221)", "lattice_angstrom": [[-0.1118, -1.3534, 6.3641], [5.1605, -3.8950, -0.7376], [3.9626, 5.0342, 1.1402]], "species": ["Tl", "Se", "Rb", "Rb", "Rb"], "frac_coords": [[0.5000, 0.5000, 0.5000], [0.0000, 0.0000, 0.0000], [0.0000, 0.0000, 0.5000], [0.0000, 0.5000, 0.0000], [0.5000, 0.0000, 0.0000]]}

# 5
{"formula": "RbVSe2", "functional": "meta-GGA SCAN", "state": "single point on PBEsol structure", "space_group": "Fddd (70)", "lattice_angstrom": [[-5.1835, -0.9595, -2.1545], [0.0107, -0.6135, -7.2787], [-0.7901, -12.4920, -0.0621]], "species": ["Se", "Se", "Se", "Se", "V", "Se", "Rb", "Rb", "Se", "Se", "V", "V", "Rb", "Se", "Rb", "V"], "frac_coords": [[0.3469, 0.6982, 0.6077], [0.6528, 0.3018, 0.3923], [0.4031, 0.8018, 0.8923], [0.0972, 0.1982, 0.1077], [0.5000, 0.0000, 0.0000], [0.7951, 0.8018, 0.1077], [0.4267, 0.5000, 0.1466], [0.3233, 0.0000, 0.3534], [0.0453, 0.3018, 0.6077], [0.7047, 0.1982, 0.8923], [0.7500, 0.5000, 0.5000], [0.2500, 0.5000, 0.5000], [0.0733, 0.5000, 0.8534], [0.9549, 0.6982, 0.3923], [0.6767, 0.0000, 0.6466], [0.0000, 0.0000, 0.0000]]}

# 6
{"formula": "Rb2WSe4", "functional": "meta-GGA SCAN", "state": "single point on PBEsol structure", "space_group": "Pnma (62)", "lattice_angstrom": [[7.1679, 0.0000, 0.0000], [0.0000, 10.0211, 0.0000], [0.0000, 0.0000, 12.6455]], "species": ["Rb", "W", "Se", "Rb", "Rb", "Rb", "Se", "Se", "Se", "Se", "Se", "Se", "W", "Se", "Se", "Se", "Rb", "W", "Rb", "Se", "Se", "Rb", "Se", "Se", "W", "Se", "Rb", "Se"], "frac_coords": [[0.2500, 0.9544, 0.3433], [0.7500, 0.2493, 0.0740], [0.5098, 0.3518, 0.6470], [0.7500, 0.3419, 0.3905], [0.7500, 0.5456, 0.8433], [0.2500, 0.6581, 0.6095], [0.0098, 0.1482, 0.1470], [0.9902, 0.8518, 0.8530], [0.2500, 0.7852, 0.1075], [0.4902, 0.6482, 0.3530], [0.2500, 0.5236, 0.8846], [0.4902, 0.1482, 0.1470], [0.2500, 0.7507, 0.9260], [0.7500, 0.9764, 0.3846], [0.7500, 0.4764, 0.1154], [0.2500, 0.2852, 0.3925], [0.2500, 0.1581, 0.8905], [0.2500, 0.2507, 0.5740], [0.7500, 0.8419, 0.1095], [0.2500, 0.0236, 0.6154], [0.0098, 0.6482, 0.3530], [0.7500, 0.0456, 0.6567], [0.7500, 0.7148, 0.6075], [0.7500, 0.2148, 0.8925], [0.7500, 0.7493, 0.4260], [0.9902, 0.3518, 0.6470], [0.2500, 0.4544, 0.1567], [0.5098, 0.8518, 0.8530]]}

Number 1: mass density 6.5 g/cm³, uncorrected formation energy -1.63 eV/atom, magnetization 0.000 μB/atom. Number 2: mass density 5.5 g/cm³, uncorrected formation energy -1.35 eV/atom, magnetization 0.000 μB/atom. Number 3: mass density 5.6 g/cm³, uncorrected formation energy -0.86 eV/atom, magnetization 0.000 μB/atom. Number 4: mass density 3.3 g/cm³, uncorrected formation energy -0.53 eV/atom, magnetization 0.401 μB/atom. Number 5: mass density 4.2 g/cm³, uncorrected formation energy -1.10 eV/atom, magnetization 0.001 μB/atom. Number 6: mass density 4.9 g/cm³, uncorrected formation energy -0.96 eV/atom, magnetization 0.000 μB/atom.